{
  "formula": "Cs2KRbSe",
  "functional": "PBE",
  "state": "relaxed",
  "lattice_angstrom": [[7.189, 0.000, 0.000], [0.000, 7.189, 0.000], [0.000, 0.000, 6.837]],
  "species": ["Se", "Cs", "Cs", "K", "Rb"],
  "frac_coords": [[0.000, 0.000, 0.000], [0.000, 0.500, 0.000], [0.500, 0.000, 0.000], [0.500, 0.500, 0.500], [0.000, 0.000, 0.500]],
  "raw_formation_energy_mev_per_atom": -558,
  "final_energy_ev_per_atom": -2.0092
}